# ZrAl2Si, relaxed, DFT PBE-GGA
# - formation energy from raw total energies (eV per atom) = -0.405
# - calculated density (Mg/m³) = 4.22
# - M_tot (μB per formula unit) = 0.00
# - electronic total energy (eV per atom) = -5.77
# - calculated volume (Å³/atom) = 17.06
data_ZrAl2Si
_symmetry_space_group_name_H-M 'P n a 21'
_symmetry_Int_Tables_number 33
_symmetry_space_group_name_Hall 'P 2c -2n'
_cell_length_a 5.2315
_cell_length_b 9.3265
_cell_length_c 5.5937
_cell_angle_alpha 90.00
_cell_angle_beta 90.00
_cell_angle_gamma 90.00
loop_
_atom_site_label
_atom_site_type_symbol
_atom_site_fract_x
_atom_site_fract_y
_atom_site_fract_z
_atom_site_occupancy
Zr1 Zr 0.1338 0.1227 0.0000 1
Al1 Al 0.1413 0.3878 0.7464 1
Al2 Al 0.1498 0.1383 0.4984 1
Si1 Si 0.1465 0.3848 0.2484 1